Here is AcLaTb2Pr2 after structural relaxation from Alexandria. Energies are from GGA-PBE.

Computed properties:
The theoretical density comes out at 7.36 g cm⁻³. As for the final energy: -4.5769 eV/atom.

a = 5.867 Å, b = 7.333 Å, c = 10.130 Å
α = 90.00°, β = 90.00°, γ = 90.00°
Sites, in units of the cell vectors:
Ac  0.000  0.008  0.500
Ac  0.000  0.508  0.500
La  0.500  0.258  0.671
La  0.500  0.758  0.329
Tb  0.000  0.257  0.836
Tb  0.500  0.258  0.331
Tb  0.000  0.757  0.164
Tb  0.500  0.758  0.669
Pr  0.500  0.008  0.000
Pr  0.000  0.258  0.163
Pr  0.500  0.508  0.000
Pr  0.000  0.758  0.837

***

Here is Ac2LaTbPr2 after structural relaxation from Alexandria. Energies are from GGA-PBE.

Computed properties:
The theoretical density comes out at 7.45 g cm⁻³. As for the final energy: -4.4912 eV/atom.

a = 5.993 Å, b = 7.431 Å, c = 10.353 Å
α = 90.00°, β = 90.00°, γ = 90.00°
Sites, in units of the cell vectors:
Ac  0.500  0.008  0.000
Ac  0.000  0.258  0.172
Ac  0.500  0.508  0.000
Ac  0.000  0.758  0.828
La  0.000  0.007  0.500
La  0.000  0.507  0.500
Tb  0.500  0.257  0.665
Tb  0.500  0.757  0.335
Pr  0.000  0.258  0.826
Pr  0.500  0.257  0.342
Pr  0.000  0.758  0.174
Pr  0.500  0.757  0.658

***

Here is AcLaTb3Pr after structural relaxation from Alexandria. Energies are from GGA-PBE.

Computed properties:
The theoretical density comes out at 7.55 g cm⁻³. As for the final energy: -4.4031 eV/atom.

a = 5.779 Å, b = 10.668 Å, c = 7.295 Å
α = 90.22°, β = 90.00°, γ = 105.72°
Sites, in units of the cell vectors:
Ac  0.353  0.705  0.962
Ac  0.647  0.295  0.038
La  0.646  0.292  0.479
La  0.354  0.708  0.521
Tb  0.835  0.671  0.253
Tb  0.781  0.561  0.738
Tb  0.479  0.958  0.258
Tb  0.219  0.439  0.262
Tb  0.521  0.042  0.742
Tb  0.165  0.329  0.747
Pr  0.053  0.107  0.269
Pr  0.947  0.893  0.731

***

Here is AcLa4Tb2Pr after structural relaxation from Alexandria. Energies are from GGA-PBE.

Computed properties:
The theoretical density comes out at 7.05 g cm⁻³. As for the final energy: -4.7045 eV/atom.

a = 5.267 Å, b = 6.445 Å, c = 9.865 Å
α = 89.60°, β = 74.52°, γ = 65.89°
Sites, in units of the cell vectors:
Ac  0.500  0.500  0.500
La  0.124  0.124  0.629
La  0.374  0.375  0.877
La  0.876  0.876  0.371
La  0.626  0.625  0.123
Tb  0.746  0.755  0.754
Tb  0.254  0.245  0.246
Pr  0.000  0.000  0.000

***

Here is Ac2La2TbPr4 after structural relaxation from Alexandria. Energies are from GGA-PBE.

Computed properties:
The theoretical density comes out at 7.06 g cm⁻³. As for the final energy: -4.6231 eV/atom.

a = 3.813 Å, b = 9.993 Å, c = 10.144 Å
α = 115.17°, β = 90.00°, γ = 101.00°
Sites, in units of the cell vectors:
Ac  0.855  0.711  0.335
Ac  0.145  0.289  0.665
La  0.336  0.671  0.998
La  0.664  0.329  0.002
Tb  0.000  0.000  0.000
Pr  0.815  0.630  0.668
Pr  0.185  0.370  0.332
Pr  0.518  0.036  0.318
Pr  0.482  0.964  0.682

***

Here is Ac4LaTbPr2 after structural relaxation from Alexandria. Energies are from GGA-PBE.

Computed properties:
The theoretical density comes out at 7.75 g cm⁻³. As for the final energy: -4.4152 eV/atom.

a = 3.867 Å, b = 6.690 Å, c = 12.524 Å
α = 79.73°, β = 90.00°, γ = 90.00°
Sites, in units of the cell vectors:
Ac  0.000  0.750  0.748
Ac  0.000  0.250  0.252
Ac  0.500  0.747  0.254
Ac  0.500  0.253  0.746
La  0.500  0.500  0.000
Tb  0.000  0.500  0.500
Pr  0.000  0.000  0.000
Pr  0.500  0.000  0.500

***

Here is AcLaTb2Pr4 after structural relaxation from Alexandria. Energies are from GGA-PBE.

Computed properties:
The theoretical density comes out at 7.11 g cm⁻³. As for the final energy: -4.6457 eV/atom.

a = 5.250 Å, b = 6.446 Å, c = 9.848 Å
α = 89.95°, β = 74.54°, γ = 65.97°
Sites, in units of the cell vectors:
Ac  0.500  0.500  0.500
La  0.000  0.000  0.000
Tb  0.746  0.755  0.753
Tb  0.254  0.245  0.247
Pr  0.123  0.125  0.628
Pr  0.374  0.375  0.877
Pr  0.877  0.875  0.372
Pr  0.626  0.625  0.123

***

Here is AcLa2TbPr5 after structural relaxation from Alexandria. Energies are from GGA-PBE.

Computed properties:
The theoretical density comes out at 6.81 g cm⁻³. As for the final energy: -4.4896 eV/atom.

a = 9.079 Å, b = 9.079 Å, c = 10.330 Å
α = 116.07°, β = 116.07°, γ = 90.00°
Sites, in units of the cell vectors:
Ac  0.250  0.250  0.500
Ac  0.750  0.750  0.500
La  0.118  0.382  0.000
La  0.618  0.118  0.000
La  0.382  0.882  0.000
La  0.882  0.618  0.000
Tb  0.250  0.750  0.500
Tb  0.750  0.250  0.500
Pr  0.926  0.426  0.274
Pr  0.652  0.152  0.726
Pr  0.074  0.574  0.726
Pr  0.152  0.074  0.726
Pr  0.574  0.652  0.726
Pr  0.848  0.926  0.274
Pr  0.426  0.348  0.274
Pr  0.348  0.848  0.274
Pr  0.500  0.500  0.000
Pr  0.000  0.000  0.000

***

Here is AcLa6Tb2Pr after structural relaxation from Alexandria. Energies are from GGA-PBE.

Computed properties:
The theoretical density comes out at 6.82 g cm⁻³. As for the final energy: -4.6702 eV/atom.

a = 10.113 Å, b = 9.127 Å, c = 9.127 Å
α = 117.48°, β = 94.12°, γ = 94.12°
Sites, in units of the cell vectors:
Ac  0.250  0.975  0.025
Ac  0.750  0.025  0.975
La  0.051  0.109  0.749
La  0.449  0.251  0.891
La  0.949  0.891  0.251
La  0.551  0.749  0.109
La  0.316  0.988  0.445
La  0.184  0.555  0.012
La  0.684  0.012  0.555
La  0.816  0.445  0.988
La  0.122  0.702  0.493
La  0.378  0.507  0.298
La  0.878  0.298  0.507
La  0.622  0.493  0.702
Tb  0.454  0.803  0.701
Tb  0.046  0.299  0.197
Tb  0.546  0.197  0.299
Tb  0.954  0.701  0.803
Pr  0.250  0.407  0.593
Pr  0.750  0.593  0.407

***

Here is AcLaTb2Pr6 after structural relaxation from Alexandria. Energies are from GGA-PBE.

Computed properties:
The theoretical density comes out at 6.88 g cm⁻³. As for the final energy: -4.5857 eV/atom.

a = 10.014 Å, b = 9.165 Å, c = 9.165 Å
α = 117.92°, β = 93.57°, γ = 93.57°
Sites, in units of the cell vectors:
Ac  0.250  0.971  0.029
Ac  0.750  0.029  0.971
La  0.250  0.407  0.593
La  0.750  0.593  0.407
Tb  0.454  0.804  0.696
Tb  0.046  0.304  0.196
Tb  0.546  0.196  0.304
Tb  0.954  0.696  0.804
Pr  0.055  0.115  0.750
Pr  0.445  0.250  0.885
Pr  0.945  0.885  0.250
Pr  0.555  0.750  0.115
Pr  0.321  0.980  0.442
Pr  0.179  0.558  0.020
Pr  0.679  0.020  0.558
Pr  0.821  0.442  0.980
Pr  0.121  0.705  0.493
Pr  0.379  0.507  0.295
Pr  0.879  0.295  0.507
Pr  0.621  0.493  0.705

***

Here is AcLa4TbPr2 after structural relaxation from Alexandria. Energies are from GGA-PBE.

Computed properties:
The theoretical density comes out at 6.86 g cm⁻³. As for the final energy: -4.7338 eV/atom.

a = 5.311 Å, b = 5.287 Å, c = 11.803 Å
α = 63.36°, β = 90.00°, γ = 90.00°
Sites, in units of the cell vectors:
Ac  0.500  0.500  0.000
La  0.000  0.757  0.743
La  0.000  0.243  0.257
La  0.500  0.743  0.257
La  0.500  0.257  0.743
Tb  0.000  0.500  0.500
Pr  0.000  0.000  0.000
Pr  0.500  0.000  0.500

***

Here is AcLa5Tb2Pr after structural relaxation from Alexandria. Energies are from GGA-PBE.

Computed properties:
The theoretical density comes out at 6.87 g cm⁻³. As for the final energy: -4.5240 eV/atom.

a = 9.169 Å, b = 9.169 Å, c = 10.245 Å
α = 116.58°, β = 116.58°, γ = 90.00°
Sites, in units of the cell vectors:
Ac  0.250  0.250  0.500
Ac  0.750  0.750  0.500
La  0.938  0.438  0.262
La  0.676  0.176  0.738
La  0.062  0.562  0.738
La  0.176  0.062  0.738
La  0.562  0.676  0.738
La  0.824  0.938  0.262
La  0.438  0.324  0.262
La  0.324  0.824  0.262
La  0.500  0.500  0.000
La  0.000  0.000  0.000
Tb  0.117  0.383  0.000
Tb  0.617  0.117  0.000
Tb  0.383  0.883  0.000
Tb  0.883  0.617  0.000
Pr  0.250  0.750  0.500
Pr  0.750  0.250  0.500

***

Here is AcLaTb2Pr after structural relaxation from Alexandria. Energies are from GGA-PBE.

Computed properties:
The theoretical density comes out at 7.11 g cm⁻³. As for the final energy: -4.2765 eV/atom.

a = 6.668 Å, b = 6.552 Å, c = 9.409 Å
α = 110.38°, β = 90.00°, γ = 90.00°
Sites, in units of the cell vectors:
Ac  0.250  0.656  0.312
Ac  0.750  0.344  0.688
La  0.250  0.847  0.694
La  0.750  0.153  0.306
Tb  0.500  0.253  0.000
Tb  0.000  0.747  0.000
Tb  0.500  0.747  0.000
Tb  0.000  0.253  0.000
Pr  0.750  0.718  0.435
Pr  0.250  0.282  0.565

***

Here is Ac3LaPr4Te8 after structural relaxation from Alexandria. Energies are from GGA-PBE.

Computed properties:
The theoretical density comes out at 7.18 g cm⁻³. Its formation energy without anion corrections is -23.60 eV per formula unit. As for the final energy: -5.3187 eV/atom.

a = 9.253 Å, b = 9.212 Å, c = 9.248 Å
α = 120.10°, β = 120.02°, γ = 90.00°
Sites, in units of the cell vectors:
Ac  0.500  0.500  0.000
Ac  0.500  0.500  0.500
Ac  0.000  0.500  0.500
La  0.000  0.500  0.000
Pr  0.500  0.000  0.000
Pr  0.500  0.000  0.500
Pr  0.000  0.000  0.000
Pr  0.000  0.000  0.500
Te  0.251  0.758  0.008
Te  0.251  0.758  0.501
Te  0.246  0.238  0.492
Te  0.757  0.758  0.008
Te  0.243  0.242  0.992
Te  0.754  0.762  0.508
Te  0.749  0.242  0.499
Te  0.749  0.242  0.992

***

Here is AcLa2Pr3Te6 after structural relaxation from Alexandria. Energies are from GGA-PBE.

Computed properties:
The theoretical density comes out at 6.88 g cm⁻³. Its formation energy without anion corrections is -18.02 eV per formula unit. As for the final energy: -5.4309 eV/atom.

a = 4.576 Å, b = 9.192 Å, c = 10.225 Å
α = 102.63°, β = 102.93°, γ = 90.00°
Sites, in units of the cell vectors:
Ac  0.500  0.000  0.000
La  0.832  0.666  0.664
La  0.168  0.334  0.336
Pr  0.500  0.500  0.000
Pr  0.835  0.170  0.670
Pr  0.165  0.830  0.330
Te  0.330  0.917  0.660
Te  0.666  0.584  0.332
Te  0.670  0.083  0.340
Te  0.001  0.258  0.001
Te  0.999  0.742  0.999
Te  0.334  0.416  0.668

***

Here is Ac2LaPr3Te6 after structural relaxation from Alexandria. Energies are from GGA-PBE.

Computed properties:
The theoretical density comes out at 7.13 g cm⁻³. Its formation energy without anion corrections is -17.82 eV per formula unit. As for the final energy: -5.3460 eV/atom.

a = 7.993 Å, b = 7.993 Å, c = 7.982 Å
α = 99.61°, β = 99.61°, γ = 120.25°
Sites, in units of the cell vectors:
Ac  0.334  0.666  0.000
Ac  0.666  0.334  0.000
La  0.000  0.000  0.000
Pr  0.171  0.829  0.500
Pr  0.829  0.171  0.500
Pr  0.500  0.500  0.500
Te  0.915  0.587  0.743
Te  0.760  0.760  0.262
Te  0.085  0.413  0.257
Te  0.587  0.915  0.743
Te  0.240  0.240  0.738
Te  0.413  0.085  0.257

***

Here is AcLaPrTh after structural relaxation from Alexandria. Energies are from GGA-PBE.

Computed properties:
The theoretical density comes out at 8.24 g cm⁻³. As for the final energy: -5.2710 eV/atom. The calculation puts the energy above the most stable polymorph in this dataset at 0.00 eV/f.u.

a = 3.709 Å, b = 3.709 Å, c = 10.820 Å
α = 90.00°, β = 90.00°, γ = 90.00°
Sites, in units of the cell vectors:
Ac  0.000  0.000  0.070
La  0.500  0.500  0.347
Pr  0.500  0.500  0.798
Th  0.000  0.000  0.571

***

Here is AcLaPrTh after structural relaxation from Alexandria. Energies are from GGA-PBE.

Computed properties:
The theoretical density comes out at 8.22 g cm⁻³. As for the final energy: -5.0969 eV/atom. The calculation puts the energy above the most stable polymorph in this dataset at 0.70 eV/f.u.

a = 5.954 Å, b = 5.954 Å, c = 5.954 Å
α = 60.00°, β = 60.00°, γ = 60.00°
Last column: magnetic moment on the atom in μB.
Sites, in units of the cell vectors:
Pr  0.250  0.250  0.250  0.07
Ac  0.500  0.500  0.500  0.03
Th  0.000  0.000  0.000  0.14
La  0.750  0.750  0.750  0.06

***

Here is Ac2LaPrTl2 after structural relaxation from Alexandria. Energies are from GGA-PBE.

Computed properties:
The theoretical density comes out at 8.88 g cm⁻³. As for the final energy: -4.0231 eV/atom.

a = 5.562 Å, b = 7.308 Å, c = 10.517 Å
α = 90.00°, β = 90.00°, γ = 90.00°
Sites, in units of the cell vectors:
Ac  0.500  0.032  0.049
Ac  0.000  0.326  0.179
Ac  0.500  0.532  0.951
Ac  0.000  0.826  0.821
La  0.000  0.975  0.458
La  0.000  0.475  0.542
Pr  0.500  0.195  0.674
Pr  0.500  0.695  0.326
Tl  0.000  0.293  0.843
Tl  0.500  0.225  0.365
Tl  0.000  0.793  0.157
Tl  0.500  0.725  0.635

***

Here is Ac3La2Pr2Tl4 after structural relaxation from Alexandria. Energies are from GGA-PBE.

Computed properties:
The theoretical density comes out at 8.82 g cm⁻³. As for the final energy: -3.9762 eV/atom.

a = 5.765 Å, b = 5.765 Å, c = 13.465 Å
α = 90.00°, β = 90.00°, γ = 120.00°
Last column: magnetic moment on the atom in μB.
Sites, in units of the cell vectors:
Ac  0.000  0.000  0.695  0.00
Ac  0.000  0.000  0.000  0.07
Ac  0.000  0.000  0.305  0.00
La  0.667  0.333  0.385  0.00
La  0.333  0.667  0.615  0.00
Pr  0.667  0.333  0.868  0.04
Pr  0.333  0.667  0.132  0.04
Tl  0.667  0.333  0.131  0.00
Tl  0.333  0.667  0.869  0.00
Tl  0.667  0.333  0.626  0.00
Tl  0.333  0.667  0.374  0.00

***

Here is Ac2LaPrTl4 after structural relaxation from Alexandria. Energies are from GGA-PBE.

Computed properties:
The theoretical density comes out at 9.66 g cm⁻³. As for the final energy: -3.7909 eV/atom.

a = 5.740 Å, b = 5.740 Å, c = 9.918 Å
α = 73.18°, β = 73.18°, γ = 60.00°
Sites, in units of the cell vectors:
Ac  0.750  0.750  0.750
Ac  0.250  0.250  0.250
La  0.500  0.500  0.500
Pr  0.000  0.000  0.000
Tl  0.375  0.375  0.876
Tl  0.875  0.875  0.374
Tl  0.125  0.125  0.626
Tl  0.625  0.625  0.124

***

Number 1: M_tot 0.000 μB per formula unit, V 36.3 Å³ per atom. Number 2: M_tot 0.000 μB per formula unit, V 38.4 Å³ per atom. Number 3: M_tot 0.000 μB per formula unit, V 36.1 Å³ per atom. Number 4: M_tot 0.000 μB per formula unit, V 36.6 Å³ per atom. Number 5: M_tot 0.000 μB per formula unit, V 38.0 Å³ per atom. Number 6: M_tot 0.000 μB per formula unit, V 39.9 Å³ per atom. Number 7: M_tot 0.000 μB per formula unit, V 36.4 Å³ per atom. Number 8: M_tot 0.000 μB per formula unit, V 37.1 Å³ per atom. Number 9: M_tot 0.000 μB per formula unit, V 37.0 Å³ per atom. Number 10: M_tot 0.000 μB per formula unit, V 36.9 Å³ per atom. Number 11: M_tot 0.000 μB per formula unit, V 37.0 Å³ per atom. Number 12: M_tot 0.000 μB per formula unit, V 37.0 Å³ per atom. Number 13: M_tot 0.000 μB per formula unit, V 38.5 Å³ per atom. Number 14: M_tot 0.000 μB per formula unit, V 34.8 Å³ per atom. Number 15: M_tot 0.000 μB per formula unit, V 34.0 Å³ per atom. Number 16: M_tot 0.000 μB per formula unit, V 34.6 Å³ per atom. Number 17: M_tot 0.000 μB per formula unit, V 37.2 Å³ per atom. Number 18: M_tot 0.631 μB per formula unit, V 37.3 Å³ per atom. Number 19: M_tot 0.000 μB per formula unit, V 35.6 Å³ per atom. Number 20: M_tot 0.360 μB per formula unit, V 35.2 Å³ per atom. Number 21: M_tot 0.000 μB per formula unit, V 33.3 Å³ per atom.